Record 1
This record from Alexandria via LeMat-Bulk describes K2Rh3S6 after structural relaxation. The functional is PBE-GGA.

abc: 6.2949 6.2949 7.3398
angles: 98.23 98.23 120.02
Last column: nearest neighbours and their distance in Å.
Fractional coordinates of all 11 atoms:
K 0.1666 0.8334 0.0000  6 S 3.15
K 0.8334 0.1666 0.0000  6 S 3.15
Rh 0.0000 0.0000 0.5000  6 S 2.40-2.41
Rh 0.3325 0.6675 0.5000  6 S 2.40-2.41
Rh 0.6675 0.3325 0.5000  6 S 2.40-2.41
S 0.0569 0.3887 0.6660  3 Rh 2.40
S 0.2792 0.2792 0.3329  3 Rh 2.41
S 0.3887 0.0569 0.6660  3 Rh 2.40
S 0.6113 0.9431 0.3340  3 Rh 2.40
S 0.7208 0.7208 0.6671  3 Rh 2.41
S 0.9431 0.6113 0.3340  3 Rh 2.40

## Properties
formation energy (no corrections) = -670 meV per atom
space-group type = No. 12
VASP energy = -5.126 eV per atom

Record 2
This record from Alexandria via LeMat-Bulk describes KRhS3 after structural relaxation. The functional is PBE-GGA.

abc: 5.3241 5.3241 5.3241
angles: 90.00 90.00 90.00
Last column: nearest neighbours and their distance in Å.
Fractional coordinates of all 5 atoms:
K 0.0000 0.0000 0.0000  6 S 2.66
Rh 0.5000 0.5000 0.5000  12 S 3.76
S 0.0000 0.0000 0.5000  2 K 2.66
S 0.0000 0.5000 0.0000  2 K 2.66
S 0.5000 0.0000 0.0000  2 K 2.66

## Properties
formation energy (no corrections) = 1799 meV per atom
space-group type = No. 221
excess energy over the best structure of this formula in the dataset = 2248.3 meV/atom
VASP energy = -2.368 eV per atom

Record 3
This record from Alexandria via LeMat-Bulk describes KSc2RhS after structural relaxation. The functional is PBE-GGA.

abc: 4.8349 4.8349 5.4021
angles: 90.00 90.00 90.00
Last column: nearest neighbours and their distance in Å.
Fractional coordinates of all 5 atoms:
K 0.0000 0.0000 0.0000  2 S 2.70
Sc 0.0000 0.5000 0.5000  2 S 2.42
Sc 0.5000 0.0000 0.5000  2 S 2.42
Rh 0.5000 0.5000 0.0000  4 K 3.42, 8 Sc 3.62
S 0.0000 0.0000 0.5000  4 Sc 2.42, 2 K 2.70

## Properties
formation energy (no corrections) = -83 meV per atom
space-group type = No. 123
VASP energy = -5.131 eV per atom

Record 4
This record from Alexandria via LeMat-Bulk describes KSi2RhS after structural relaxation. The functional is PBE-GGA.

abc: 4.5795 4.5795 5.2577
angles: 90.00 90.00 90.00
Last column: nearest neighbours and their distance in Å.
Fractional coordinates of all 5 atoms:
K 0.0000 0.0000 0.0000  2 S 2.63
Si 0.0000 0.5000 0.5000  2 S 2.29
Si 0.5000 0.0000 0.5000  2 S 2.29
Rh 0.5000 0.5000 0.0000  4 K 3.24, 8 Si 3.49
S 0.0000 0.0000 0.5000  4 Si 2.29

## Properties
formation energy (no corrections) = 928 meV per atom
space-group type = No. 123
excess energy over the best structure of this formula in the dataset = 0.0 meV/atom
VASP energy = -3.757 eV per atom

Record 5
This record from Alexandria via LeMat-Bulk describes KSi2RhS after structural relaxation. The functional is PBE-GGA.

abc: 5.4077 5.4077 4.5819
angles: 90.00 90.00 90.00
Last column: nearest neighbours and their distance in Å.
Fractional coordinates of all 5 atoms:
K 0.0000 0.0000 0.0000  2 Rh 2.29
Si 0.0000 0.5000 0.0000  2 K 2.70
Si 0.5000 0.0000 0.0000  2 K 2.70
Rh 0.0000 0.0000 0.5000  2 K 2.29
S 0.5000 0.5000 0.5000  8 Si 3.54, 4 Rh 3.82

## Properties
formation energy (no corrections) = 2219 meV per atom
space-group type = No. 123
excess energy over the best structure of this formula in the dataset = 1291.0 meV/atom
VASP energy = -2.466 eV per atom

Record 6
This record from Alexandria via LeMat-Bulk describes KSrRh2S after structural relaxation. The functional is PBE-GGA.

abc: 4.6662 4.6662 6.4082
angles: 90.00 90.00 90.00
Last column: nearest neighbours and their distance in Å.
Fractional coordinates of all 5 atoms:
K 0.0000 0.0000 0.0000  4 Rh 2.33
Sr 0.0000 0.0000 0.5000  2 K 3.20, 4 S 3.30
Rh 0.0000 0.5000 0.0000  2 K 2.33
Rh 0.5000 0.0000 0.0000  2 K 2.33
S 0.5000 0.5000 0.5000  4 Sr 3.30

## Properties
formation energy (no corrections) = 1283 meV per atom
space-group type = No. 123
VASP energy = -3.039 eV per atom

Record 7
This record from Alexandria via LeMat-Bulk describes KTaRhS3 after structural relaxation. The functional is PBE-GGA.

abc: 8.2813 3.4994 9.7537
angles: 90.00 113.29 90.00
Last column: nearest neighbours and their distance in Å.
Fractional coordinates of all 12 atoms:
K 0.2347 0.2500 0.2619  7 S 3.16-3.49, 2 K 3.50
K 0.7653 0.7500 0.7381  7 S 3.16-3.49, 2 K 3.50
Ta 0.3216 0.7500 0.8192  6 S 2.45-2.60
Ta 0.6784 0.2500 0.1808  6 S 2.45-2.60
Rh 0.1432 0.2500 0.5935  3 S 2.30-2.42
Rh 0.8568 0.7500 0.4065  3 S 2.30-2.42
S 0.1154 0.2500 0.8318  1 Rh 2.42, 2 Ta 2.48
S 0.3067 0.7500 0.5638  2 Rh 2.30, 1 Ta 2.45
S 0.4346 0.7500 0.1085  3 Ta 2.55-2.60
S 0.5654 0.2500 0.8915  3 Ta 2.55-2.60
S 0.6933 0.2500 0.4362  2 Rh 2.30, 1 Ta 2.45
S 0.8846 0.7500 0.1682  1 Rh 2.42, 2 Ta 2.48

## Properties
formation energy (no corrections) = -961 meV per atom
space-group type = No. 11
VASP energy = -6.408 eV per atom

Record 8
This record from Alexandria via LeMat-Bulk describes K3Th3RhS8 after structural relaxation. The functional is PBE-GGA.

abc: 8.8431 8.8431 8.8431
angles: 54.91 54.91 54.91
Last column: nearest neighbours and their distance in Å.
Fractional coordinates of all 15 atoms:
K 0.0000 0.5000 0.5000  6 S 3.19-3.28
K 0.5000 0.0000 0.5000  6 S 3.19-3.28
K 0.5000 0.5000 0.0000  6 S 3.19-3.28
Th 0.0000 0.0000 0.5000  6 S 2.77-2.84
Th 0.0000 0.5000 0.0000  6 S 2.77-2.84
Th 0.5000 0.0000 0.0000  6 S 2.77-2.84
Rh 0.5000 0.5000 0.5000  6 S 2.75
S 0.2341 0.7300 0.7300  1 Rh 2.75, 2 Th 2.77
S 0.2376 0.2376 0.2376  3 Th 2.84
S 0.2700 0.2700 0.7659  1 Rh 2.75, 2 Th 2.77
S 0.2700 0.7659 0.2700  1 Rh 2.75, 2 Th 2.77
S 0.7300 0.2341 0.7300  1 Rh 2.75, 2 Th 2.77
S 0.7300 0.7300 0.2341  1 Rh 2.75, 2 Th 2.77
S 0.7624 0.7624 0.7624  3 Th 2.84
S 0.7659 0.2700 0.2700  1 Rh 2.75, 2 Th 2.77

## Properties
formation energy (no corrections) = -1484 meV per atom
space-group type = No. 166
VASP energy = -5.878 eV per atom

| no. | total moment (μB per formula unit) |
| --- | --- |
| 1 | 0.0 |
| 2 | 1.8 |
| 3 | 0.0 |
| 4 | 0.0 |
| 5 | 0.0 |
| 6 | 1.5 |
| 7 | 0.0 |
| 8 | 2.0 |